# Cr3AuO8

A geometry-optimized Cr3AuO8 structure (PBE with a Hubbard U, Alexandria via LeMat-Bulk).

Structure (POSCAR):
```
Cr3AuO8
1.0
-2.7083 4.4735 0.3853
-2.8262 1.3935 -4.1913
-7.6307 -3.0602 2.2555
Cr O Au
3 8 1
direct
0.0000 0.0000 0.5000
0.3170 0.3169 0.6931
0.6830 0.6831 0.3069
0.7833 0.7833 0.1181
0.1796 0.6769 0.6661
0.6769 0.1795 0.6661
0.2167 0.2167 0.8819
0.3231 0.8205 0.3339
0.2028 0.2028 0.5632
0.7971 0.7972 0.4368
0.8204 0.3231 0.3339
0.0000 0.0000 0.0000
```

Results
**Space-group type**: C2/m, No. 12
**Magnetization**: 2.93 μB per cell



# CrAu2O

A geometry-optimized CrAu2O structure (PBE with a Hubbard U, Alexandria via LeMat-Bulk).

Structure (POSCAR):
```
CrAu2O
1.0
-2.8914 -8.1506 -0.0113
3.0927 -1.1083 7.9999
-1.5989 -4.0275 4.7347
Au O Cr
4 2 2
direct
0.2330 0.6250 0.2500
0.8750 0.7670 0.7500
0.3750 0.4830 0.7500
0.5170 0.1250 0.2500
0.5000 0.5000 0.0000
0.2500 0.7500 0.5000
0.0000 0.0000 0.0000
0.7500 0.2500 0.5000
```

Results
**Space-group type**: I-42d, No. 122
**DOS(E_F)**: 2.030 states/eV/cell
**Magnetization**: 7.84 μB per cell



# CrP2AuO

A geometry-optimized CrP2AuO structure (PBE with a Hubbard U, Alexandria via LeMat-Bulk).

Structure (POSCAR):
```
CrP2AuO
1.0
4.8897 0.0000 0.0000
0.0000 4.8897 0.0000
0.0000 0.0000 3.9769
Au P O Cr
1 2 1 1
direct
0.0000 0.0000 0.0000
0.0000 0.5000 0.0000
0.5000 0.0000 0.0000
0.0000 0.0000 0.5000
0.5000 0.5000 0.5000
```

Results
**E above lowest polymorph**: 622 meV/atom
**Space-group type**: P4/mmm, No. 123
**DOS(E_F)**: 3.950 states/eV/cell
**Magnetization**: 3.09 μB per cell



# CrPAuO2

A geometry-optimized CrPAuO2 structure (PBE with a Hubbard U, Alexandria via LeMat-Bulk).

Structure (POSCAR):
```
CrPAuO2
1.0
3.9784 0.0000 0.0000
0.0000 3.9784 0.0000
0.0000 0.0000 5.1304
Cr P Au O
1 1 1 2
direct
0.5000 0.5000 0.5000
0.0000 0.0000 0.5000
0.0000 0.0000 0.0000
0.5000 0.0000 0.0000
0.0000 0.5000 0.0000
```

Results
**E above lowest polymorph**: 930 meV/atom
**Space-group type**: P4/mmm, No. 123
**DOS(E_F)**: 4.300 states/eV/cell
**Magnetization**: 3.10 μB per cell



# CrPAuO2

A geometry-optimized CrPAuO2 structure (PBE with a Hubbard U, Alexandria via LeMat-Bulk).

Structure (POSCAR):
```
CrPAuO2
1.0
3.6331 0.0000 0.0000
0.0000 3.6331 0.0000
0.0000 0.0000 5.5738
O Cr Au P
2 1 1 1
direct
0.0000 0.5000 0.0000
0.5000 0.0000 0.0000
0.0000 0.0000 0.0000
0.5000 0.5000 0.5000
0.0000 0.0000 0.5000
```

Results
**E above lowest polymorph**: 0 meV/atom
**Space-group type**: P4/mmm, No. 123
**DOS(E_F)**: 2.539 states/eV/cell
**Magnetization**: 1.14 μB per cell



# CrP2AuO8

A geometry-optimized CrP2AuO8 structure (PBE with a Hubbard U, Alexandria via LeMat-Bulk).

Structure (POSCAR):
```
CrP2AuO8
1.0
4.7502 0.0000 0.0000
2.3751 4.1138 0.0000
2.3751 1.3713 8.0571
Au Cr O P
1 1 8 2
direct
0.5000 0.5000 0.5000
0.0000 0.0000 0.0000
0.1712 0.1712 0.4863
0.6356 0.9194 0.1482
0.0806 0.7031 0.8518
0.8288 0.8288 0.5137
0.9194 0.2969 0.1482
0.2969 0.6356 0.1482
0.7031 0.3644 0.8518
0.3644 0.0806 0.8518
0.6034 0.6034 0.1897
0.3966 0.3966 0.8103
```

Results
**Space-group type**: R-3, No. 148
**DOS(E_F)**: 4.440 states/eV/cell
**Magnetization**: 3.41 μB per cell



# CrP2AuO

A geometry-optimized CrP2AuO structure (PBE with a Hubbard U, Alexandria via LeMat-Bulk).

Structure (POSCAR):
```
CrP2AuO
1.0
-0.6257 4.3262 -2.0726
-4.4730 -1.2814 -1.3244
-1.2479 1.2564 2.9991
P Au O Cr
2 1 1 1
direct
0.5000 0.0000 0.0000
0.0000 0.5000 0.0000
0.5000 0.5000 0.5000
0.0000 0.0000 0.5000
0.0000 0.0000 0.0000
```

Results
**E above lowest polymorph**: 0 meV/atom
**Space-group type**: P4/mmm, No. 123
**DOS(E_F)**: 2.330 states/eV/cell
**Magnetization**: 1.80 μB per cell



# PaCrAuO6

A geometry-optimized PaCrAuO6 structure (PBE with a Hubbard U, Alexandria via LeMat-Bulk).

Structure (POSCAR):
```
PaCrAuO6
1.0
5.4537 0.0000 0.0000
-2.7269 4.7230 0.0000
0.0000 0.0000 9.0057
O Cr Pa Au
12 2 2 2
direct
0.9677 0.6272 0.3674
0.3405 0.9677 0.6326
0.0323 0.6595 0.8674
0.0323 0.3728 0.6326
0.3405 0.3728 0.8674
0.3728 0.0323 0.1326
0.6272 0.6595 0.6326
0.3728 0.3405 0.3674
0.6272 0.9677 0.8674
0.6595 0.0323 0.3674
0.9677 0.3405 0.1326
0.6595 0.6272 0.1326
0.6667 0.3333 0.2500
0.3333 0.6667 0.7500
0.3333 0.6667 0.2500
0.6667 0.3333 0.7500
0.0000 0.0000 0.5000
0.0000 0.0000 0.0000
```

Results
**Space-group type**: P-31c, No. 163
**DOS(E_F)**: 4.976 states/eV/cell
**Magnetization**: 0.23 μB per cell



# CrPbAu2O6

A geometry-optimized CrPbAu2O6 structure (PBE with a Hubbard U, Alexandria via LeMat-Bulk).

Structure (POSCAR):
```
CrPbAu2O6
1.0
-1.7208 1.5899 -6.4736
-4.1552 -5.3296 -3.1661
-5.8217 4.6615 -0.2693
Pb O Au Cr
2 12 4 2
direct
0.2500 0.7857 0.2143
0.7500 0.2143 0.7857
0.2770 0.1584 0.0802
0.4788 0.1359 0.6864
0.6192 0.5558 0.7625
0.9788 0.6864 0.1359
0.2230 0.9198 0.8416
0.7770 0.0802 0.1584
0.1192 0.7625 0.5558
0.0212 0.3136 0.8641
0.3808 0.4442 0.2375
0.7230 0.8416 0.9198
0.5212 0.8641 0.3136
0.8808 0.2375 0.4442
0.6092 0.3478 0.3650
0.1092 0.3650 0.3478
0.3908 0.6522 0.6350
0.8908 0.6350 0.6522
0.7500 0.8667 0.1333
0.2500 0.1333 0.8667
```

Results
**Space-group type**: C2/c, No. 15
**Magnetization**: 0.00 μB per cell



# PuCrAuO6

A geometry-optimized PuCrAuO6 structure (PBE with a Hubbard U, Alexandria via LeMat-Bulk).

Structure (POSCAR):
```
PuCrAuO6
1.0
-0.6082 -2.9044 -4.4303
3.9169 -1.1554 3.4287
-5.7722 -5.8449 4.6243
O Cr Au Pu
12 2 2 2
direct
0.3572 0.3623 0.8635
0.6377 0.6428 0.6365
0.9948 0.3572 0.1365
0.0052 0.3623 0.6365
0.6428 0.6377 0.1365
0.9948 0.6377 0.3635
0.6428 0.0052 0.3635
0.3623 0.3572 0.3635
0.6377 0.9948 0.8635
0.3572 0.9948 0.6365
0.3623 0.0052 0.1365
0.0052 0.6428 0.8635
0.3333 0.6667 0.7500
0.6667 0.3333 0.2500
0.0000 0.0000 0.0000
0.0000 0.0000 0.5000
0.3333 0.6667 0.2500
0.6667 0.3333 0.7500
```

Results
**Space-group type**: P-31c, No. 163
**DOS(E_F)**: 4.431 states/eV/cell
**Magnetization**: 5.94 μB per cell



# CrAuS2O8

A geometry-optimized CrAuS2O8 structure (PBE with a Hubbard U, Alexandria via LeMat-Bulk).

Structure (POSCAR):
```
CrAuS2O8
1.0
-4.0198 1.4099 2.6272
-2.1082 -3.4278 2.9756
5.9999 2.7316 5.0084
O Cr S Au
8 1 2 1
direct
0.1869 0.6511 0.8292
0.7914 0.7914 0.0748
0.3489 0.8131 0.1708
0.2086 0.2086 0.9252
0.8131 0.3489 0.1708
0.7677 0.7677 0.3701
0.2323 0.2323 0.6299
0.6511 0.1869 0.8292
0.0000 0.0000 0.0000
0.6852 0.6852 0.1951
0.3148 0.3148 0.8049
0.0000 0.0000 0.5000
```

Results
**Space-group type**: C2/m, No. 12
**Magnetization**: 2.94 μB per cell



# ScCrAuO2

A geometry-optimized ScCrAuO2 structure (PBE with a Hubbard U, Alexandria via LeMat-Bulk).

Structure (POSCAR):
```
ScCrAuO2
1.0
3.8596 0.0000 0.0000
0.0000 5.1401 0.0000
0.0000 0.0000 3.8596
O Cr Au Sc
2 1 1 1
direct
0.5000 0.0000 0.0000
0.0000 0.0000 0.5000
0.0000 0.0000 0.0000
0.0000 0.5000 0.0000
0.5000 0.5000 0.5000
```

Results
**Space-group type**: P4/mmm, No. 123
**DOS(E_F)**: 2.699 states/eV/cell
**Magnetization**: 2.64 μB per cell



Number 1: total DFT energy (no corrections) -79.1 eV per cell. Number 2: total DFT energy (no corrections) -38.4 eV per cell. Number 3: total DFT energy (no corrections) -22.5 eV per cell. Number 4: total DFT energy (no corrections) -23.5 eV per cell. Number 5: total DFT energy (no corrections) -28.2 eV per cell. Number 6: total DFT energy (no corrections) -71.5 eV per cell. Number 7: total DFT energy (no corrections) -25.6 eV per cell. Number 8: total DFT energy (no corrections) -130.5 eV per cell. Number 9: total DFT energy (no corrections) -109.2 eV per cell. Number 10: total DFT energy (no corrections) -137.3 eV per cell. Number 11: total DFT energy (no corrections) -73.5 eV per cell. Number 12: total DFT energy (no corrections) -31.2 eV per cell.